Here is Zr2CoIrN after structural relaxation from Alexandria. Energies are from PBE. Values from VASP.

Geometry as Quantum ESPRESSO input:
```
&SYSTEM
  ibrav = 0, nat = 5, ntyp = 4
/
ATOMIC_SPECIES
Ir 192.22 Ir.upf
Co 58.93 Co.upf
Zr 91.22 Zr.upf
N 14.01 N.upf
CELL_PARAMETERS angstrom
4.487 0.000 0.000
0.000 4.487 0.000
0.000 0.000 3.708
ATOMIC_POSITIONS crystal
Ir 0.500 0.500 0.500
Co 0.000 0.000 0.500
Zr 0.000 0.500 0.000
Zr 0.500 0.000 0.000
N 0.000 0.000 0.000
```

- Density: 9.96 g/cm³
- ΔE_f (raw): -0.832 eV per atom
- Space-group type: No. 123
- DOS at the Fermi energy: 3.88 states/eV per cell